1.
SrTePdI2 | PBEsol | optimized geometry

```
data_SrTePdI2
_chemical_formula_sum 'Sr1 Te1 Pd1 I2'
_symmetry_space_group_name_H-M 'P 4/m m m'
_symmetry_Int_Tables_number 123
_symmetry_space_group_name_Hall '-P 4 2'
_cell_length_a 5.994
_cell_length_b 5.994
_cell_length_c 6.117
_cell_angle_alpha 90.00
_cell_angle_beta 90.00
_cell_angle_gamma 90.00
loop_
_atom_site_label
_atom_site_type_symbol
_atom_site_fract_x
_atom_site_fract_y
_atom_site_fract_z
Sr1 Sr 0.000 0.000 0.000
Te1 Te 0.000 0.000 0.500
Pd1 Pd 0.500 0.500 0.000
I1 I 0.000 0.500 0.500
```

- mass density (kg/m³) = 4347
- energy relative to the elements, uncorrected (kJ per mole of atoms) = 27
- total moment (μB/f.u.) = 0.0

---

2.
LiWCl3 | PBEsol | optimized geometry

```
data_LiWCl3
_chemical_formula_sum 'Li1 W1 Cl3'
_symmetry_space_group_name_H-M 'P m -3 m'
_symmetry_Int_Tables_number 221
_symmetry_space_group_name_Hall '-P 4 2 3'
_cell_length_a 4.805
_cell_length_b 4.805
_cell_length_c 4.805
_cell_angle_alpha 90.00
_cell_angle_beta 90.00
_cell_angle_gamma 90.00
loop_
_atom_site_label
_atom_site_type_symbol
_atom_site_fract_x
_atom_site_fract_y
_atom_site_fract_z
Li1 Li 0.000 0.000 0.000
W1 W 0.500 0.500 0.500
Cl1 Cl 0.000 0.500 0.500
```

- mass density (kg/m³) = 4449
- energy relative to the elements, uncorrected (kJ per mole of atoms) = -25
- total moment (μB/f.u.) = 1.6

---

3.
Ca3Mg | PBEsol | optimized geometry

```
data_Ca3Mg
_chemical_formula_sum 'Ca6 Mg2'
_symmetry_space_group_name_H-M 'P 63/m m c'
_symmetry_Int_Tables_number 194
_symmetry_space_group_name_Hall '-P 6c 2c'
_cell_length_a 7.3644
_cell_length_b 7.3644
_cell_length_c 5.9751
_cell_angle_alpha 90.00
_cell_angle_beta 90.00
_cell_angle_gamma 120.00
loop_
_atom_site_label
_atom_site_type_symbol
_atom_site_fract_x
_atom_site_fract_y
_atom_site_fract_z
Ca1 Ca 0.1703 0.3405 0.2500
Mg1 Mg 0.3333 0.6667 0.7500
```

- mass density (kg/m³) = 1710
- final energy (eV per atom) = -2.046
- total moment (μB/f.u.) = 0.0

---

4.
AlTl2Cr | PBEsol | optimized geometry

```
data_AlTl2Cr
_chemical_formula_sum 'Al2 Tl4 Cr2'
_symmetry_space_group_name_H-M 'A m m 2'
_symmetry_Int_Tables_number 38
_cell_length_a 4.416
_cell_length_b 3.634
_cell_length_c 10.566
_cell_angle_alpha 90.00
_cell_angle_beta 90.00
_cell_angle_gamma 90.00
loop_
_symmetry_equiv_pos_as_xyz
'x,y,z'
'-x,-y,z'
'-x,y,z'
'x,-y,z'
'x,y+1/2,z+1/2'
'-x,-y+1/2,z+1/2'
'-x,y+1/2,z+1/2'
'x,-y+1/2,z+1/2'
loop_
_atom_site_label
_atom_site_type_symbol
_atom_site_fract_x
_atom_site_fract_y
_atom_site_fract_z
Al1 Al 0.000 0.000 0.000
Tl1 Tl 0.000 0.000 0.273
Tl2 Tl 0.500 0.000 0.583
Cr1 Cr 0.500 0.000 0.856
```

- relative energy among the computed polymorphs (eV/atom) = 0.025
- mass density (kg/m³) = 9553
- total moment (μB/f.u.) = 3.7

---

5.
CsNaLi3 | PBEsol | optimized geometry

```
data_CsNaLi3
_chemical_formula_sum 'Cs1 Na1 Li3'
_symmetry_space_group_name_H-M 'P m -3 m'
_symmetry_Int_Tables_number 221
_symmetry_space_group_name_Hall '-P 4 2 3'
_cell_length_a 6.073
_cell_length_b 6.073
_cell_length_c 6.073
_cell_angle_alpha 90.00
_cell_angle_beta 90.00
_cell_angle_gamma 90.00
loop_
_atom_site_label
_atom_site_type_symbol
_atom_site_fract_x
_atom_site_fract_y
_atom_site_fract_z
Cs1 Cs 0.000 0.000 0.000
Na1 Na 0.500 0.500 0.500
Li1 Li 0.000 0.000 0.500
```

- relative energy among the computed polymorphs (eV/atom) = 0.405
- mass density (kg/m³) = 1310
- total moment (μB/f.u.) = 0.0

---

6.
K2MgFe | PBEsol | optimized geometry

```
data_K2MgFe
_chemical_formula_sum 'K2 Mg1 Fe1'
_symmetry_space_group_name_H-M 'P m m m'
_symmetry_Int_Tables_number 47
_cell_length_a 3.306
_cell_length_b 5.548
_cell_length_c 6.832
_cell_angle_alpha 90.00
_cell_angle_beta 90.00
_cell_angle_gamma 90.00
loop_
_symmetry_equiv_pos_as_xyz
'x,y,z'
'-x,-y,-z'
'-x,-y,z'
'x,y,-z'
'x,-y,-z'
'-x,y,z'
'-x,y,-z'
'x,-y,z'
loop_
_atom_site_label
_atom_site_type_symbol
_atom_site_fract_x
_atom_site_fract_y
_atom_site_fract_z
K1 K 0.000 0.000 0.236
Mg1 Mg 0.500 0.500 0.500
Fe1 Fe 0.500 0.500 0.000
```

- relative energy among the computed polymorphs (eV/atom) = 0.298
- mass density (kg/m³) = 2098
- total moment (μB/f.u.) = 3.0

---

7.
LiSbAs | PBEsol | optimized geometry

```
data_LiSbAs
_chemical_formula_sum 'Li1 Sb1 As1'
_symmetry_space_group_name_H-M 'P 3 m 1'
_symmetry_Int_Tables_number 156
_cell_length_a 3.7288
_cell_length_b 3.7288
_cell_length_c 5.4841
_cell_angle_alpha 90.00
_cell_angle_beta 90.00
_cell_angle_gamma 120.00
loop_
_symmetry_equiv_pos_as_xyz
'x,y,z'
'-y,x-y,z'
'-x+y,-x,z'
'-y,-x,z'
'-x+y,y,z'
'x,x-y,z'
loop_
_atom_site_label
_atom_site_type_symbol
_atom_site_fract_x
_atom_site_fract_y
_atom_site_fract_z
Li1 Li 0.0000 0.0000 0.0000
Sb1 Sb 0.6667 0.3333 0.6094
As1 As 0.3333 0.6667 0.3065
```

- mass density (kg/m³) = 5120
- energy relative to the elements, uncorrected (kJ per mole of atoms) = -14
- total moment (μB/f.u.) = 0.0

---

8.
InFe2Pb | PBEsol | optimized geometry

```
data_InFe2Pb
_chemical_formula_sum 'In2 Fe4 Pb2'
_symmetry_space_group_name_H-M 'I m m 2'
_symmetry_Int_Tables_number 44
_cell_length_a 3.025
_cell_length_b 4.364
_cell_length_c 11.084
_cell_angle_alpha 90.00
_cell_angle_beta 90.00
_cell_angle_gamma 90.00
loop_
_symmetry_equiv_pos_as_xyz
'x,y,z'
'-x,-y,z'
'-x,y,z'
'x,-y,z'
'x+1/2,y+1/2,z+1/2'
'-x+1/2,-y+1/2,z+1/2'
'-x+1/2,y+1/2,z+1/2'
'x+1/2,-y+1/2,z+1/2'
loop_
_atom_site_label
_atom_site_type_symbol
_atom_site_fract_x
_atom_site_fract_y
_atom_site_fract_z
In1 In 0.000 0.000 0.000
Fe1 Fe 0.000 0.000 0.502
Fe2 Fe 0.000 0.500 0.162
Pb1 Pb 0.000 0.500 0.773
```

- mass density (kg/m³) = 9847
- final energy (eV per atom) = -5.830
- total moment (μB/f.u.) = 4.6

---

9.
RuC | PBEsol | optimized geometry

```
data_RuC
_chemical_formula_sum 'Ru2 C2'
_symmetry_space_group_name_H-M 'P 63/m m c'
_symmetry_Int_Tables_number 194
_symmetry_space_group_name_Hall '-P 6c 2c'
_cell_length_a 2.9725
_cell_length_b 2.9725
_cell_length_c 4.9888
_cell_angle_alpha 90.00
_cell_angle_beta 90.00
_cell_angle_gamma 120.00
loop_
_atom_site_label
_atom_site_type_symbol
_atom_site_fract_x
_atom_site_fract_y
_atom_site_fract_z
Ru1 Ru 0.3333 0.6667 0.2500
C1 C 0.0000 0.0000 0.0000
```

- relative energy among the computed polymorphs (eV/atom) = 0.096
- mass density (kg/m³) = 9838
- total moment (μB/f.u.) = 0.0

---

10.
Ba2LaCd | PBEsol | optimized geometry

```
data_Ba2LaCd
_chemical_formula_sum 'Ba2 La1 Cd1'
_symmetry_space_group_name_H-M 'P 4 m m'
_symmetry_Int_Tables_number 99
_cell_length_a 4.071
_cell_length_b 4.071
_cell_length_c 9.849
_cell_angle_alpha 90.00
_cell_angle_beta 90.00
_cell_angle_gamma 90.00
loop_
_symmetry_equiv_pos_as_xyz
'x,y,z'
'-y,x,z'
'-x,-y,z'
'y,-x,z'
'-x,y,z'
'y,x,z'
'x,-y,z'
'-y,-x,z'
loop_
_atom_site_label
_atom_site_type_symbol
_atom_site_fract_x
_atom_site_fract_y
_atom_site_fract_z
Ba1 Ba 0.000 0.000 0.000
Ba2 Ba 0.500 0.500 0.347
La1 La 0.500 0.500 0.729
Cd1 Cd 0.000 0.000 0.567
```

- relative energy among the computed polymorphs (eV/atom) = 0.000
- mass density (kg/m³) = 5350
- total moment (μB/f.u.) = 0.0